Material: AsPt2
Method: DFT, PBE
State: optimized geometry

Energy of formation from the pure elements (kJ/mol of formula units): -72
SG: P6_3/mmc (194)
Density of states at the Fermi level (states/eV/cell): 4.12

Unit cell a=3.647 b=3.647 c=9.135 alpha=90.00 beta=90.00 gamma=120.00
Atoms (fractional coordinates):
As  0.000  0.000  0.250
As  0.000  0.000  0.750
Pt  0.333  0.667  0.097
Pt  0.333  0.667  0.403
Pt  0.667  0.333  0.597
Pt  0.667  0.333  0.903